No. 1
Density functional theory data (PBE) for crystalline Al2CuSb at its relaxed geometry.

Cell lengths 4.748, 4.748, 4.748 Å; angles 60.00, 60.00, 60.00 degrees
Sites, in units of the cell vectors:
Al (0.000, 0.000, 0.000)
Al (0.250, 0.250, 0.250)
Cu (0.500, 0.500, 0.500)
Sb (0.750, 0.750, 0.750)

Computed properties:
Total magnetic moment = 0.00 μB per atom
D(E_F) = 0.429 states/eV/atom
DFT total energy = -3.655 eV/atom
SG = F-43m, No. 216

No. 2
Density functional theory data (PBE) for crystalline TcPdNF2 at its relaxed geometry.

Cell lengths 4.138, 4.138, 3.821 Å; angles 90.00, 90.00, 90.00 degrees
Sites, in units of the cell vectors:
Tc (0.000, 0.000, 0.000)
Pd (0.500, 0.500, 0.500)
N (0.000, 0.000, 0.500)
F (0.000, 0.500, 0.000)
F (0.500, 0.000, 0.000)

Computed properties:
Total magnetic moment = 0.15 μB per atom
D(E_F) = 1.043 states/eV/atom
DFT total energy = -5.825 eV/atom
SG = P4/mmm, No. 123

No. 3
Density functional theory data (PBE) for crystalline CdNi2Mo2 at its relaxed geometry.

Cell lengths 7.401, 7.401, 2.700 Å; angles 90.00, 90.00, 90.00 degrees
Sites, in units of the cell vectors:
Cd (0.000, 0.000, 0.000)
Cd (0.500, 0.500, 0.000)
Ni (0.120, 0.380, 0.000)
Ni (0.380, 0.880, 0.000)
Ni (0.620, 0.120, 0.000)
Ni (0.880, 0.620, 0.000)
Mo (0.172, 0.672, 0.500)
Mo (0.328, 0.172, 0.500)
Mo (0.672, 0.828, 0.500)
Mo (0.828, 0.328, 0.500)

Computed properties:
Total magnetic moment = 0.00 μB per atom
D(E_F) = 1.045 states/eV/atom
DFT total energy = -6.608 eV/atom
E_form = 220 meV/atom
SG = P4/mbm, No. 127

No. 4
Density functional theory data (PBE) for crystalline LiZr3Tl4Te8 at its relaxed geometry.

Cell lengths 9.519, 9.519, 9.519 Å; angles 52.47, 52.47, 52.47 degrees
Sites, in units of the cell vectors:
Li (0.000, 0.000, 0.000)
Zr (0.000, 0.500, 0.500)
Zr (0.500, 0.000, 0.500)
Zr (0.500, 0.500, 0.000)
Tl (0.000, 0.000, 0.500)
Tl (0.000, 0.500, 0.000)
Tl (0.500, 0.000, 0.000)
Tl (0.500, 0.500, 0.500)
Te (0.237, 0.237, 0.731)
Te (0.237, 0.731, 0.237)
Te (0.264, 0.264, 0.264)
Te (0.269, 0.763, 0.763)
Te (0.731, 0.237, 0.237)
Te (0.736, 0.736, 0.736)
Te (0.763, 0.269, 0.763)
Te (0.763, 0.763, 0.269)

Computed properties:
Total magnetic moment = 0.00 μB per atom
D(E_F) = 0.323 states/eV/atom
DFT total energy = -4.546 eV/atom
SG = R-3m, No. 166